(1)
DFT (PBE) results for an optimized crystal structure of Cu2SbPd2.

## Properties
**Theoretical density**: 9216 kg/m³
**Final energy**: -22.9 eV for the cell shown
**Space group**: I4/mmm, No. 139
**E above lowest polymorph**: 0.151 eV/atom

abc: 3.4784 3.4784 7.3022
angles: 76.22 76.22 90.00
Closest atoms and distances in Å follow each position.
Positions (direct):
1 Cu 0.2500 0.7500 0.5000  4 Cu 2.46, 4 Pd 2.65
2 Sb 0.0000 0.0000 0.0000  8 Pd 2.85
3 Cu 0.7500 0.2500 0.5000  4 Cu 2.46, 4 Pd 2.65
4 Pd 0.3951 0.3951 0.2098  4 Cu 2.65, 4 Sb 2.85, 1 Pd 2.89
5 Pd 0.6049 0.6049 0.7902  4 Cu 2.65, 4 Sb 2.85, 1 Pd 2.89

(2)
DFT (PBE) results for an optimized crystal structure of Cu2SbPd6.

## Properties
**Theoretical density**: 10268 kg/m³
**Final energy**: -89.5 eV for the cell shown
**Space group**: C2/c, No. 15
**E above lowest polymorph**: 0.044 eV/atom

abc: 5.5539 7.4766 7.4766
angles: 82.83 74.20 74.20
Closest atoms and distances in Å follow each position.
Positions (direct):
1 Pd 0.2413 0.9706 0.5725  2 Cu 2.62-2.69, 1 Sb 2.63, 5 Pd 2.71-2.92
2 Pd 0.7587 0.0294 0.4275  2 Cu 2.62-2.69, 1 Sb 2.63, 5 Pd 2.71-2.92
3 Pd 0.2429 0.7938 0.9567  2 Sb 2.65-2.66, 2 Cu 2.68, 3 Pd 2.71-2.83
4 Sb 0.2500 0.1453 0.8547  8 Pd 2.57-2.66
5 Pd 0.7571 0.2062 0.0433  2 Sb 2.65-2.66, 2 Cu 2.68, 3 Pd 2.71-2.83
6 Cu 0.8775 0.3474 0.3106  8 Pd 2.61-2.73, 2 Cu 2.80
7 Pd 0.7429 0.9567 0.7938  2 Sb 2.65-2.66, 2 Cu 2.68, 3 Pd 2.71-2.83
8 Cu 0.1225 0.6526 0.6894  8 Pd 2.61-2.73, 2 Cu 2.80
9 Pd 0.7413 0.5725 0.9706  2 Cu 2.62-2.69, 1 Sb 2.63, 5 Pd 2.71-2.92
10 Pd 0.5146 0.3586 0.6418  1 Sb 2.57, 4 Cu 2.61-2.73, 2 Pd 2.61-2.81
11 Pd 0.9854 0.3582 0.6414  1 Sb 2.57, 4 Cu 2.61-2.73, 2 Pd 2.61-2.81
12 Cu 0.3775 0.3106 0.3474  8 Pd 2.61-2.73, 2 Cu 2.80
13 Pd 0.4854 0.6414 0.3582  1 Sb 2.57, 4 Cu 2.61-2.73, 2 Pd 2.61-2.81
14 Pd 0.2571 0.0433 0.2062  2 Sb 2.65-2.66, 2 Cu 2.68, 3 Pd 2.71-2.83
15 Sb 0.7500 0.8547 0.1453  8 Pd 2.57-2.66
16 Cu 0.6225 0.6894 0.6526  8 Pd 2.61-2.73, 2 Cu 2.80
17 Pd 0.0146 0.6418 0.3586  1 Sb 2.57, 4 Cu 2.61-2.73, 2 Pd 2.61-2.81
18 Pd 0.2587 0.4275 0.0294  2 Cu 2.62-2.69, 1 Sb 2.63, 5 Pd 2.71-2.92

(3)
DFT (PBE) results for an optimized crystal structure of Cu2SbPd3.

## Properties
**Theoretical density**: 10261 kg/m³
**Final energy**: -29.4 eV for the cell shown
**Space group**: P-3m1, No. 164
**E above lowest polymorph**: 0.000 eV/atom

abc: 4.4141 4.4141 5.4484
angles: 90.00 90.00 120.00
Closest atoms and distances in Å follow each position.
Positions (direct):
1 Sb 0.0000 0.0000 0.0000  8 Pd 2.71-2.72
2 Cu 0.6667 0.3333 0.3508  8 Pd 2.60-2.85
3 Pd 0.3333 0.6667 0.1718  5 Cu 2.60-2.85, 3 Sb 2.71
4 Pd 0.0000 0.0000 0.5000  6 Cu 2.68, 2 Sb 2.72
5 Cu 0.3333 0.6667 0.6492  8 Pd 2.60-2.85
6 Pd 0.6667 0.3333 0.8282  5 Cu 2.60-2.85, 3 Sb 2.71

(4)
DFT (PBE) results for an optimized crystal structure of Sr2Cu2SbPd5.

## Properties
**Theoretical density**: 8406 kg/m³
**Final energy**: -93.5 eV for the cell shown
**Space group**: P4/mbm, No. 127

abc: 3.8407 9.9179 9.9179
angles: 90.00 90.00 90.00
Closest atoms and distances in Å follow each position.
Positions (direct):
1 Pd 0.5000 0.5000 0.0000  4 Cu 2.59
2 Pd 0.5000 0.0000 0.5000  4 Cu 2.59
3 Pd 0.5000 0.7090 0.4363  2 Cu 2.61, 2 Sb 2.90
4 Cu 0.0000 0.3766 0.1234  6 Pd 2.59-2.61, 1 Sr 2.83
5 Pd 0.5000 0.4363 0.2910  2 Cu 2.61, 2 Sb 2.90
6 Sr 0.0000 0.6749 0.1749  3 Cu 2.83-3.00, 2 Pd 3.12
7 Sb 0.0000 0.5000 0.5000  8 Pd 2.90
8 Cu 0.0000 0.6234 0.8766  6 Pd 2.59-2.61, 1 Sr 2.83
9 Sb 0.0000 0.0000 0.0000  8 Pd 2.90
10 Pd 0.5000 0.0637 0.7910  2 Cu 2.61, 2 Sb 2.90
11 Pd 0.5000 0.5637 0.7090  2 Cu 2.61, 2 Sb 2.90
12 Pd 0.5000 0.7910 0.9363  2 Cu 2.61, 2 Sb 2.90
13 Pd 0.5000 0.9363 0.2090  2 Cu 2.61, 2 Sb 2.90
14 Sr 0.0000 0.1749 0.3251  3 Cu 2.83-3.00, 2 Pd 3.12
15 Cu 0.0000 0.1234 0.6234  6 Pd 2.59-2.61, 1 Sr 2.83
16 Cu 0.0000 0.8766 0.3766  6 Pd 2.59-2.61, 1 Sr 2.83
17 Pd 0.5000 0.2910 0.5637  2 Cu 2.61, 2 Sb 2.90
18 Sr 0.0000 0.8251 0.6749  3 Cu 2.83-3.00, 2 Pd 3.12
19 Sr 0.0000 0.3251 0.8251  3 Cu 2.83-3.00, 2 Pd 3.12
20 Pd 0.5000 0.2090 0.0637  2 Cu 2.61, 2 Sb 2.90